[1]
A plane-wave DFT calculation with GGA-PBE was carried out for a relaxed KCoAs2 crystal.

It has space group F-43m (No. 216), with a = 6.875 Å, b = 6.875 Å, c = 6.875 Å, α = 90.00°, β = 90.00° and γ = 90.00°. The distinct sites, in fractional coordinates, are K at (0.000, 0.000, 0.000), Co at (0.250, 0.250, 0.750), As at (0.000, 0.000, 0.500) and As at (0.250, 0.250, 0.250).

For the calculated formation energy, the calculation gives 272 kJ/mol of formula units. As for the magnetic moment: 0.41 μB/atom.



[2]
A plane-wave DFT calculation with GGA-PBE was carried out for a relaxed HoGaCo2 crystal.

It has space group P4/mmm (No. 123), with a = 3.151 Å, b = 3.151 Å, c = 6.058 Å, α = 90.00°, β = 90.00° and γ = 90.00°. The distinct sites, in fractional coordinates, are Ho at (0.000, 0.000, 0.000), Ga at (0.000, 0.000, 0.500) and Co at (0.500, 0.500, 0.291).

For the calculated formation energy, the calculation gives -68 kJ/mol of formula units. As for the magnetic moment: 0.05 μB/atom.



[3]
A plane-wave DFT calculation with GGA-PBE was carried out for a relaxed Sr2MgOs crystal.

It has space group C2/m (No. 12), with a = 8.402 Å, b = 3.266 Å, c = 9.132 Å, α = 90.00°, β = 96.07° and γ = 90.00°. The distinct sites, in fractional coordinates, are Sr at (0.238, 0.000, 0.196), Mg at (0.000, 0.000, 0.500) and Os at (0.000, 0.500, 0.000).

For the calculated formation energy, the calculation gives 273 kJ/mol of formula units. As for the magnetic moment: 0.08 μB/atom.



[4]
A plane-wave DFT calculation with GGA-PBE was carried out for a relaxed LaDyPb crystal.

It has space group I4/mmm (No. 139), with a = 4.735 Å, b = 4.735 Å, c = 17.575 Å, α = 90.00°, β = 90.00° and γ = 90.00°. The distinct sites, in fractional coordinates, are La at (0.000, 0.000, 0.177), Dy at (0.000, 0.500, 0.000) and Pb at (0.000, 0.000, 0.370).

For the calculated formation energy, the calculation gives -142 kJ/mol of formula units. As for the magnetic moment: 0.21 μB/atom.



Record order is preserved below.
DOS at the Fermi energy: 23.06 2.47 5.43 12.25 states/eV per cell